First-principles (GGA-PBE) data for crystalline Rh5Au3 at its relaxed geometry, as listed in the Alexandria database.

Calculated values
Crystal system: hexagonal
Fermi-level density of states (states/eV/atom): 1.4632
E_tot (eV per atom): -5.38
Energy above the lowest structure with this stoichiometry (eV/f.u.): 0.54
Formation enthalpy at 0 K (eV per atom): 0.444

abc: 7.9694 7.9694 4.8550
angles: 90.00 90.00 120.00
With the nearest neighbours (Å) after each atom.
Space group P6_3/mcm (No. 193)
Asymmetric unit:
Rh 0.0000 0.1959 0.2500 (multiplicity 6)  6 Rh 2.70-2.89, 4 Au 2.74-2.91
Rh 0.3333 0.6667 0.0000 (multiplicity 4)  2 Rh 2.43
Au 0.0000 0.3967 0.7500 (multiplicity 6)  8 Rh 2.73-2.91, 2 Au 2.93